Entry 1:
Compound: MgHSeN2
Source: Alexandria
Functional: PBE-GGA
Structure: optimized geometry

Cell and atoms, written as CIF:
```
data_MgHSeN2
_symmetry_space_group_name_H-M 'P 4/m m m'
_symmetry_Int_Tables_number 123
_symmetry_space_group_name_Hall '-P 4 2'
_cell_length_a 4.0815
_cell_length_b 4.0815
_cell_length_c 5.5656
_cell_angle_alpha 90.00
_cell_angle_beta 90.00
_cell_angle_gamma 90.00
loop_
_atom_site_label
_atom_site_type_symbol
_atom_site_fract_x
_atom_site_fract_y
_atom_site_fract_z
_atom_site_occupancy
Mg1 Mg 0.0000 0.0000 0.0000 1
H1 H 0.5000 0.5000 0.5000 1
Se1 Se 0.0000 0.0000 0.5000 1
N1 N 0.0000 0.5000 0.0000 1
```

Distance to the lowest polymorph of the same formula, meV per atom: 452

Entry 2:
Compound: Mg5SiH2N4
Source: Alexandria
Functional: PBE-GGA
Structure: optimized geometry

Cell and atoms, written as CIF:
```
data_Mg5SiH2N4
_symmetry_space_group_name_H-M 'A m m 2'
_symmetry_Int_Tables_number 38
_cell_length_a 6.2703
_cell_length_b 8.7650
_cell_length_c 5.1027
_cell_angle_alpha 90.00
_cell_angle_beta 90.00
_cell_angle_gamma 90.00
loop_
_symmetry_equiv_pos_as_xyz
'x,y,z'
'-x,-y,z'
'-x,y,z'
'x,-y,z'
'x,y+1/2,z+1/2'
'-x,-y+1/2,z+1/2'
'-x,y+1/2,z+1/2'
'x,-y+1/2,z+1/2'
loop_
_atom_site_label
_atom_site_type_symbol
_atom_site_fract_x
_atom_site_fract_y
_atom_site_fract_z
_atom_site_occupancy
Mg1 Mg 0.0000 0.0000 0.0000 1
Mg2 Mg 0.2895 0.1761 0.4792 1
Si1 Si 0.5000 0.0000 0.0022 1
H1 H 0.0000 0.1715 0.7102 1
N1 N 0.2697 0.0000 0.2077 1
N2 N 0.5000 0.1624 0.7986 1
```

E, eV/cell: -122.5

Entry 3:
Compound: MgSiHN2
Source: Alexandria
Functional: PBE-GGA
Structure: optimized geometry

Cell and atoms, written as CIF:
```
data_MgSiHN2
_symmetry_space_group_name_H-M 'P 4/m m m'
_symmetry_Int_Tables_number 123
_symmetry_space_group_name_Hall '-P 4 2'
_cell_length_a 3.8288
_cell_length_b 3.8288
_cell_length_c 3.0732
_cell_angle_alpha 90.00
_cell_angle_beta 90.00
_cell_angle_gamma 90.00
loop_
_atom_site_label
_atom_site_type_symbol
_atom_site_fract_x
_atom_site_fract_y
_atom_site_fract_z
_atom_site_occupancy
Mg1 Mg 0.0000 0.0000 0.0000 1
Si1 Si 0.5000 0.5000 0.0000 1
H1 H 0.0000 0.0000 0.5000 1
N1 N 0.0000 0.5000 0.5000 1
```

E, eV/cell: -20.6

Entry 4:
Compound: SrMgH2N
Source: Alexandria
Functional: PBE-GGA
Structure: optimized geometry

Cell and atoms, written as CIF:
```
data_SrMgH2N
_symmetry_space_group_name_H-M 'P 4/m m m'
_symmetry_Int_Tables_number 123
_symmetry_space_group_name_Hall '-P 4 2'
_cell_length_a 4.0362
_cell_length_b 4.0362
_cell_length_c 9.2688
_cell_angle_alpha 90.00
_cell_angle_beta 90.00
_cell_angle_gamma 90.00
loop_
_atom_site_label
_atom_site_type_symbol
_atom_site_fract_x
_atom_site_fract_y
_atom_site_fract_z
_atom_site_occupancy
Sr1 Sr 0.0000 0.0000 0.0000 1
Mg1 Mg 0.0000 0.0000 0.5000 1
H1 H 0.0000 0.5000 0.0000 1
N1 N 0.5000 0.5000 0.5000 1
```

E, eV/cell: -13.6

Entry 5:
Compound: MgTeHN2
Source: Alexandria
Functional: PBE-GGA
Structure: optimized geometry

Cell and atoms, written as CIF:
```
data_MgTeHN2
_symmetry_space_group_name_H-M 'P 4/m m m'
_symmetry_Int_Tables_number 123
_symmetry_space_group_name_Hall '-P 4 2'
_cell_length_a 4.0101
_cell_length_b 4.0101
_cell_length_c 6.1762
_cell_angle_alpha 90.00
_cell_angle_beta 90.00
_cell_angle_gamma 90.00
loop_
_atom_site_label
_atom_site_type_symbol
_atom_site_fract_x
_atom_site_fract_y
_atom_site_fract_z
_atom_site_occupancy
Mg1 Mg 0.0000 0.0000 0.0000 1
Te1 Te 0.0000 0.0000 0.5000 1
H1 H 0.5000 0.5000 0.5000 1
N1 N 0.0000 0.5000 0.0000 1
```

Distance to the lowest polymorph of the same formula, meV per atom: 242

Entry 6:
Compound: MgTeHN2
Source: Alexandria
Functional: PBE-GGA
Structure: optimized geometry

Cell and atoms, written as CIF:
```
data_MgTeHN2
_symmetry_space_group_name_H-M 'P 4/m m m'
_symmetry_Int_Tables_number 123
_symmetry_space_group_name_Hall '-P 4 2'
_cell_length_a 4.1831
_cell_length_b 4.1831
_cell_length_c 3.4444
_cell_angle_alpha 90.00
_cell_angle_beta 90.00
_cell_angle_gamma 90.00
loop_
_atom_site_label
_atom_site_type_symbol
_atom_site_fract_x
_atom_site_fract_y
_atom_site_fract_z
_atom_site_occupancy
Mg1 Mg 0.0000 0.0000 0.0000 1
Te1 Te 0.5000 0.5000 0.0000 1
H1 H 0.5000 0.5000 0.5000 1
N1 N 0.0000 0.5000 0.5000 1
```

Distance to the lowest polymorph of the same formula, meV per atom: 0